Record 1
Entry from Alexandria via LeMat-Bulk: a relaxed structure of RePtAu2 (GGA-PBE).

abc: 2.813 3.866 6.151
angles: 90.00 90.00 90.00
Space group Pmm2 (No. 25)
One atom of each set of equivalent atoms:
Re  0.000  0.000  0.000 x1
Pt  0.500  0.500  0.806 x1
Au  0.000  0.000  0.531 x1
Au  0.500  0.500  0.267 x1

The calculation puts the formation energy at 237 meV per atom. The density of states at the Fermi level is 1.8 states/eV/cell. For the polymorph energy (0 for the lowest one), the calculation gives 0.118 eV/atom. Its total DFT energy (no corrections) is -24.1 eV/cell.

---

Record 2
Entry from Alexandria via LeMat-Bulk: a relaxed structure of YHg (GGA-PBE).

abc: 8.299 8.299 8.299
angles: 90.00 90.00 90.00
Space group Pm-3n (No. 223)
One atom of each set of equivalent atoms:
Y  0.000  0.250  0.500 x6
Hg  0.000  0.500  0.250 x6

The calculation puts the formation energy at 454 meV per atom. The density of states at the Fermi level is 27.7 states/eV/cell. Its total DFT energy (no corrections) is -35.1 eV/cell.

---

Record 3
Entry from Alexandria via LeMat-Bulk: a relaxed structure of SrHoNi2H8 (GGA-PBE).

abc: 4.8093 4.8093 18.5841
angles: 90.00 90.00 120.00
Space group R-3 (No. 148, hexagonal axes)
One atom of each set of equivalent atoms:
Sr  0.0000  0.0000  0.0000 x3
Ho  0.0000  0.0000  0.5000 x3
Ni  0.0000  0.0000  0.2290 x6
H  0.0000  0.0000  0.3102 x6
H  0.0238  0.4148  0.5589 x18

The density of states at the Fermi level is 8.4 states/eV/cell. Its total DFT energy (no corrections) is -140.8 eV/cell.

---

Record 4
Entry from Alexandria via LeMat-Bulk: a relaxed structure of Sm2ThHg (GGA-PBE).

abc: 3.6545 3.6545 32.0200
angles: 90.00 90.00 120.00
Space group R-3m (No. 166, hexagonal axes)
One atom of each set of equivalent atoms:
Sm  0.0000  0.0000  0.2444 x6
Th  0.0000  0.0000  0.0000 x3
Hg  0.0000  0.0000  0.5000 x3

The calculation puts the formation energy at -154 meV per atom. The density of states at the Fermi level is 16.7 states/eV/cell. For the polymorph energy (0 for the lowest one), the calculation gives 0.090 eV/atom. Its total DFT energy (no corrections) is -53.3 eV/cell.

---

Record 5
Entry from Alexandria via LeMat-Bulk: a relaxed structure of Tb7Tm5 (GGA-PBE).

abc: 9.596 5.579 14.594
angles: 90.00 102.76 90.00
Space group C2/m (No. 12)
One atom of each set of equivalent atoms:
Tb  0.000  0.000  0.000 x2
Tb  0.065  0.500  0.713 x4
Tb  0.192  0.000  0.580 x4
Tb  0.227  0.500  0.172 x4
Tm  0.000  0.500  0.500 x2
Tm  0.107  0.000  0.306 x4
Tm  0.146  0.500  0.942 x4

The calculation puts the formation energy at 188 meV per atom. The density of states at the Fermi level is 37.6 states/eV/cell. For the polymorph energy (0 for the lowest one), the calculation gives 0.183 eV/atom. Its total DFT energy (no corrections) is -105.0 eV/cell.

---

Record 6
Entry from Alexandria via LeMat-Bulk: a relaxed structure of Pa2SiSn (GGA-PBE).

abc: 4.6964 4.6964 15.7011
angles: 90.00 90.00 120.00
Space group R-3m (No. 166, hexagonal axes)
One atom of each set of equivalent atoms:
Pa  0.0000  0.0000  0.2384 x6
Si  0.0000  0.0000  0.5000 x3
Sn  0.0000  0.0000  0.0000 x3

The density of states at the Fermi level is 19.0 states/eV/cell. The energy relative to the elements, uncorrected comes out at -0.151 eV per atom. For the polymorph energy (0 for the lowest one), the calculation gives 0.128 eV/atom. Its total DFT energy (no corrections) is -87.1 eV/cell.